Crystalline Fe2BiP at its relaxed geometry, computed with PBE-GGA.

Summary:
**DOS(E_F)**: 1.07 states/eV/atom
**ΔH_f (0 K)**: 0.511 eV/atom

```
data_Fe2BiP
_cell_length_a 6.3287
_cell_length_b 6.3287
_cell_length_c 6.3287
_cell_angle_alpha 90.00
_cell_angle_beta 90.00
_cell_angle_gamma 90.00
_space_group_name_H-M_alt 'F m -3 m'
_space_group_IT_number 225
_space_group_name_Hall '-F 4 2 3'
loop_
_atom_site_label
_atom_site_fract_x
_atom_site_fract_y
_atom_site_fract_z
Fe1 0.2500 0.2500 0.2500
Bi1 0.0000 0.0000 0.0000
P1 0.0000 0.0000 0.5000
```